Record 1
Material: Hf4NiAgP2
Method: DFT, PBE-GGA
State: relaxed

- SG = No. 6
- raw total energy (eV per atom) = -8.114
- total moment (μB per formula unit) = 0.00

Cell lengths 5.3025, 3.6335, 7.6698 Å; angles 90.00, 110.15, 90.00 degrees
Closest atoms and distances in Å follow each position.
Sites, in units of the cell vectors:
Hf: 0.0000 0.0000 0.0000  4 P 2.70-2.88, 2 Ni 2.74
Hf: 0.0211 0.0000 0.5178  2 Ni 2.67, 3 P 2.74-2.85, 2 Ag 2.79-2.92
Hf: 0.5834 0.5000 0.1320  3 P 2.61-2.63, 2 Ag 2.81, 1 Ni 2.82
Hf: 0.6113 0.5000 0.6762  2 P 2.66, 2 Ni 2.72-2.83, 2 Ag 2.85
Ni: 0.1562 0.5000 0.7890  2 P 2.32
Ag: 0.4617 0.0000 0.3717  2 P 2.54, 3 Hf 2.79-2.81
P: 0.1063 0.5000 0.2770  2 Ag 2.54, 5 Hf 2.61-2.74
P: 0.4467 0.0000 0.8673  2 Ni 2.32

Record 2
Material: Na2SbPt2
Method: DFT, PBE-GGA
State: relaxed

- SG = No. 15
- raw total energy (eV per atom) = -4.228
- total moment (μB per formula unit) = 0.00

Cell lengths 5.6602, 5.6602, 8.0155 Å; angles 100.12, 100.12, 62.10 degrees
Closest atoms and distances in Å follow each position.
Sites, in units of the cell vectors:
Na: 0.0192 0.2763 0.1523  6 Pt 3.05-3.20, 2 Sb 3.34-3.39
Na: 0.2763 0.0192 0.6523  6 Pt 3.05-3.20, 2 Sb 3.34-3.39
Na: 0.7237 0.9808 0.3477  6 Pt 3.05-3.20, 2 Sb 3.34-3.39
Na: 0.9808 0.7237 0.8477  6 Pt 3.05-3.20, 2 Sb 3.34-3.39
Sb: 0.3768 0.6232 0.2500  4 Pt 2.62
Sb: 0.6232 0.3768 0.7500  4 Pt 2.62
Pt: 0.2308 0.5012 0.5027  1 Pt 2.61, 2 Sb 2.62
Pt: 0.4988 0.7692 0.9973  1 Pt 2.61, 2 Sb 2.62
Pt: 0.5012 0.2308 0.0027  1 Pt 2.61, 2 Sb 2.62
Pt: 0.7692 0.4988 0.4973  1 Pt 2.61, 2 Sb 2.62

Record 3
Material: ErHfTeC
Method: DFT, PBE-GGA
State: relaxed

- SG = No. 164
- offset from the most stable computed form (meV/atom) = 12
- total moment (μB per formula unit) = 0.00

Cell lengths 3.6288, 3.6288, 13.6458 Å; angles 90.00, 90.00, 120.00 degrees
Closest atoms and distances in Å follow each position.
Sites, in units of the cell vectors:
Er: 0.3333 0.6667 0.0951  3 C 2.46
Er: 0.6667 0.3333 0.9049  3 C 2.46
Hf: 0.3333 0.6667 0.4163  3 C 2.39
Hf: 0.6667 0.3333 0.5837  3 C 2.39
Te: 0.3333 0.6667 0.7344  3 Hf 2.94, 3 Er 3.13
Te: 0.6667 0.3333 0.2656  3 Hf 2.94, 3 Er 3.13
C: 0.0000 0.0000 0.0000  6 Er 2.46
C: 0.0000 0.0000 0.5000  6 Hf 2.39

Record 4
Material: PrPd5
Method: DFT, PBE-GGA
State: relaxed

- SG = No. 182
- raw total energy (eV per atom) = -5.576
- total moment (μB per formula unit) = 0.00

Cell lengths 5.0806, 5.0806, 9.3724 Å; angles 90.00, 90.00, 120.00 degrees
Closest atoms and distances in Å follow each position.
Sites, in units of the cell vectors:
Pr: 0.3333 0.6667 0.2500  12 Pd 2.91-2.93
Pr: 0.6667 0.3333 0.7500  12 Pd 2.91-2.93
Pd: 0.0000 0.0000 0.2500  9 Pd 2.86-2.93, 3 Pr 2.93
Pd: 0.0000 0.0000 0.7500  9 Pd 2.86-2.93, 3 Pr 2.93
Pd: 0.0000 0.3226 0.5000  10 Pd 2.84-2.98, 2 Pr 2.91
Pd: 0.0000 0.6774 0.0000  10 Pd 2.84-2.98, 2 Pr 2.91
Pd: 0.3226 0.0000 0.5000  10 Pd 2.84-2.98, 2 Pr 2.91
Pd: 0.3226 0.3226 0.0000  10 Pd 2.84-2.98, 2 Pr 2.91
Pd: 0.3333 0.6667 0.7500  9 Pd 2.91-2.93, 3 Pr 2.93
Pd: 0.6667 0.3333 0.2500  9 Pd 2.91-2.93, 3 Pr 2.93
Pd: 0.6774 0.0000 0.0000  10 Pd 2.84-2.98, 2 Pr 2.91
Pd: 0.6774 0.6774 0.5000  10 Pd 2.84-2.98, 2 Pr 2.91